A plane-wave DFT calculation with PBE was carried out for crystalline Ac6TeIr3Au2 at its relaxed geometry.

Calculated values
As for the density of states at the Fermi level: 6.05 states/eV/f.u. Its formation energy without anion corrections is -0.861 eV per atom.

Cell and atoms, written as POSCAR:
```
Ac6TeIr3Au2
1.0
4.4034 0.0000 0.0000
0.0000 9.2127 0.0171
-2.2017 -2.9848 9.5511
Ac Te Ir Au
6 1 3 2
Direct
0.3233 0.9389 0.6465 Ac
0.6603 0.5985 0.3205 Ac
0.6767 0.0611 0.3535 Ac
0.9908 0.2753 0.9817 Ac
0.0092 0.7247 0.0183 Ac
0.3397 0.4015 0.6795 Ac
0.5000 0.0000 0.0000 Te
0.5000 0.5000 0.0000 Ir
0.8336 0.1721 0.6672 Ir
0.1664 0.8279 0.3328 Ir
0.8346 0.6708 0.6692 Au
0.1654 0.3292 0.3308 Au
```